Compound: LiTaTeAuS2
Source: OQMD
Functional: PBE
Structure: relaxed

Computed properties:
DFT total energy in eV per cell: -126.0
Spin magnetization in μB/atom: 0.00
Density in g cm⁻³: 7.88

```
data_LiTaTeAuS2
_chemical_formula_sum 'Li4 Ta4 Te4 Au4 S8'
_symmetry_space_group_name_H-M 'C m c m'
_symmetry_Int_Tables_number 63
_symmetry_space_group_name_Hall '-C 2c 2'
_cell_length_a 3.489
_cell_length_b 13.629
_cell_length_c 10.218
_cell_angle_alpha 90.00
_cell_angle_beta 90.00
_cell_angle_gamma 90.00
loop_
_atom_site_label
_atom_site_type_symbol
_atom_site_fract_x
_atom_site_fract_y
_atom_site_fract_z
Li1 Li 0.000 0.210 0.250
Ta1 Ta 0.000 0.000 0.000
Te1 Te 0.000 0.116 0.750
Au1 Au 0.000 0.446 0.750
S1 S 0.000 0.370 0.539
```



Compound: USnPt
Source: OQMD
Functional: PBE
Structure: relaxed

Computed properties:
DFT total energy in eV per cell: -91.4
Spin magnetization in μB/atom: 0.67
Density in g cm⁻³: 12.44

```
data_USnPt
_chemical_formula_sum 'U4 Sn4 Pt4'
_symmetry_space_group_name_H-M 'F -4 3 m'
_symmetry_Int_Tables_number 216
_symmetry_space_group_name_Hall 'F -4 2 3'
_cell_length_a 6.655
_cell_length_b 6.655
_cell_length_c 6.655
_cell_angle_alpha 90.00
_cell_angle_beta 90.00
_cell_angle_gamma 90.00
loop_
_atom_site_label
_atom_site_type_symbol
_atom_site_fract_x
_atom_site_fract_y
_atom_site_fract_z
U1 U 0.000 0.000 0.000
Sn1 Sn 0.000 0.000 0.500
Pt1 Pt 0.250 0.250 0.750
```



Compound: Sc4InFeC2
Source: OQMD
Functional: PBE
Structure: relaxed

Computed properties:
DFT total energy in eV per cell: -57.2
Spin magnetization in μB/atom: 0.22
Density in g cm⁻³: 4.54

```
data_Sc4InFeC2
_chemical_formula_sum 'Sc4 In1 Fe1 C2'
_symmetry_space_group_name_H-M 'P -6 m 2'
_symmetry_Int_Tables_number 187
_symmetry_space_group_name_Hall 'P -6 2'
_cell_length_a 3.3073
_cell_length_b 3.3073
_cell_length_c 14.4565
_cell_angle_alpha 90.00
_cell_angle_beta 90.00
_cell_angle_gamma 120.00
loop_
_atom_site_label
_atom_site_type_symbol
_atom_site_fract_x
_atom_site_fract_y
_atom_site_fract_z
Sc1 Sc 0.0000 0.0000 0.1460
Sc2 Sc 0.3333 0.6667 0.3173
In1 In 0.0000 0.0000 0.5000
Fe1 Fe 0.3333 0.6667 0.0000
C1 C 0.6667 0.3333 0.2339
```